4
Lattice="0.0000 3.6883 3.6883 3.6883 0.0000 3.6883 3.6883 3.6883 0.0000" Properties=species:S:1:pos:R:3 comment="PBE LuNbTl2, relaxed" total_energy_ev_per_atom=-4.290 vol_a3_per_atom=25.086 pbc="T T T"
Lu 0.0000 0.0000 0.0000
Nb 5.5324 5.5324 5.5324
Tl 1.8441 1.8441 1.8441
Tl 3.6883 3.6883 3.6883


3
Lattice="5.3335 0.0000 0.0000 -2.6668 4.6190 0.0000 0.0000 0.0000 3.0599" Properties=species:S:1:pos:R:3 comment="PBE TmLuNb, relaxed" formation_energy_ev_per_atom=0.63 total_energy_ev_per_atom=-5.738 vol_a3_per_atom=25.127 pbc="T T T"
Tm 0.0000 0.0000 0.0000
Lu 0.0000 3.0793 0.0000
Nb 2.6668 1.5396 0.0000


3
Lattice="0.0000 3.5332 3.5332 3.5332 0.0000 3.5332 3.5332 3.5332 0.0000" Properties=species:S:1:pos:R:3 comment="PBE TmLuNb, relaxed" formation_energy_ev_per_atom=0.79 total_energy_ev_per_atom=-5.579 vol_a3_per_atom=29.404 pbc="T T T"
Tm 0.0000 0.0000 0.0000
Lu 3.5332 3.5332 3.5332
Nb 5.2998 5.2998 5.2998


3
Lattice="0.0000 3.3838 3.3838 3.3838 0.0000 3.3838 3.3838 3.3838 0.0000" Properties=species:S:1:pos:R:3 comment="PBE LuUNb, relaxed" formation_energy_ev_per_atom=0.91 total_energy_ev_per_atom=-7.726 vol_a3_per_atom=25.831 pbc="T T T"
Lu 0.0000 0.0000 0.0000
U 3.3838 3.3838 3.3838
Nb 1.6919 1.6919 1.6919


3
Lattice="0.0000 3.2320 3.2320 3.2320 0.0000 3.2320 3.2320 3.2320 0.0000" Properties=species:S:1:pos:R:3 comment="PBE LuNbW, relaxed" formation_energy_ev_per_atom=0.73 total_energy_ev_per_atom=-8.467 vol_a3_per_atom=22.508 pbc="T T T"
Lu 0.0000 0.0000 0.0000
Nb 3.2320 3.2320 3.2320
W 1.6160 1.6160 1.6160


4
Lattice="0.0000 3.7589 3.7589 3.7589 0.0000 3.7589 3.7589 3.7589 0.0000" Properties=species:S:1:pos:R:3 comment="PBE YLu2Nb, relaxed" formation_energy_ev_per_atom=0.32 total_energy_ev_per_atom=-6.078 vol_a3_per_atom=26.555 pbc="T T T"
Y 0.0000 0.0000 0.0000
Lu 3.7589 3.7589 3.7589
Lu 5.6383 5.6383 5.6383
Nb 1.8794 1.8794 1.8794


3
Lattice="0.0000 3.5645 3.5645 3.5645 0.0000 3.5645 3.5645 3.5645 0.0000" Properties=species:S:1:pos:R:3 comment="PBE YLuNb, relaxed" formation_energy_ev_per_atom=0.81 total_energy_ev_per_atom=-6.220 vol_a3_per_atom=30.193 pbc="T T T"
Y 0.0000 0.0000 0.0000
Lu 3.5645 3.5645 3.5645
Nb 5.3468 5.3468 5.3468


4
Lattice="0.0000 3.3644 3.3644 3.3644 0.0000 3.3644 3.3644 3.3644 0.0000" Properties=species:S:1:pos:R:3 comment="PBE LuNb2Zn, relaxed" formation_energy_ev_per_atom=0.12 total_energy_ev_per_atom=-6.376 vol_a3_per_atom=19.041 pbc="T T T"
Lu 0.0000 0.0000 0.0000
Nb 1.6822 1.6822 1.6822
Nb 3.3644 3.3644 3.3644
Zn 5.0466 5.0466 5.0466


4
Lattice="0.0000 3.3645 3.3645 3.3645 0.0000 3.3645 3.3645 3.3645 0.0000" Properties=species:S:1:pos:R:3 comment="PBE LuNbZn2, relaxed" formation_energy_ev_per_atom=0.32 total_energy_ev_per_atom=-3.964 vol_a3_per_atom=19.043 pbc="T T T"
Lu 0.0000 0.0000 0.0000
Nb 5.0468 5.0468 5.0468
Zn 1.6823 1.6823 1.6823
Zn 3.3645 3.3645 3.3645


3
Lattice="0.0000 3.3668 3.3668 3.3668 0.0000 3.3668 3.3668 3.3668 0.0000" Properties=species:S:1:pos:R:3 comment="PBE NdLuNi, relaxed" formation_energy_ev_per_atom=-0.14 total_energy_ev_per_atom=-5.089 vol_a3_per_atom=25.442 pbc="T T T"
Nd 0.0000 0.0000 0.0000
Lu 3.3668 3.3668 3.3668
Ni 5.0501 5.0501 5.0501


8
Lattice="3.9928 0.0000 0.0000 0.0000 2.0172 8.2129 0.0000 -2.0172 8.2129" Properties=species:S:1:pos:R:3 comment="PBE NdLuSi4Ni2, relaxed" total_energy_ev_per_atom=-6.064 vol_a3_per_atom=16.537 pbc="T T T"
Nd 0.0000 0.0000 0.0000
Lu 1.9964 0.0000 3.4747
Si 0.0000 0.0000 5.7904
Si 0.0000 0.0000 10.6207
Si 1.9964 0.0000 9.3114
Si 1.9964 0.0000 14.0068
Ni 0.0000 0.0000 12.8494
Ni 1.9964 0.0000 6.9828


20
Lattice="5.9502 0.0000 0.0000 0.0000 8.2582 0.0000 0.0000 0.0000 5.6989" Properties=species:S:1:pos:R:3 comment="PBE NdLuO3, relaxed" total_energy_ev_per_atom=-8.341 vol_a3_per_atom=14.002 pbc="T T T"
Nd 0.3305 2.0645 0.0936
Nd 2.6446 6.1936 2.9431
Nd 3.3056 2.0645 2.7558
Nd 5.6197 6.1936 5.6053
Lu 0.0000 0.0000 2.8495
Lu 0.0000 4.1291 2.8495
Lu 2.9751 0.0000 0.0000
Lu 2.9751 4.1291 0.0000
O 0.3380 6.1936 2.1256
O 1.1483 4.6785 4.6150
O 1.1483 7.7088 4.6150
O 1.8268 0.5494 1.7655
O 1.8268 3.5797 1.7655
O 2.6371 2.0645 4.9750
O 3.3131 6.1936 0.7239
O 4.1234 4.6785 3.9334
O 4.1234 7.7088 3.9334
O 4.8019 0.5494 1.0839
O 4.8019 3.5797 1.0839
O 5.6122 2.0645 3.5734